Material: Ag4IF4
Method: DFT, PBE
State: relaxed

Geometry as CIF:
```
data_Ag4IF4
_chemical_formula_sum 'Ag8 I2 F8'
_cell_length_a 8.3508
_cell_length_b 8.3508
_cell_length_c 4.7351
_cell_angle_alpha 90.00
_cell_angle_beta 90.00
_cell_angle_gamma 90.00
_space_group_name_H-M_alt 'P 42/n'
_space_group_IT_number 86
loop_
_space_group_symop_operation_xyz
'x,y,z'
'-x,-y,-z'
'-y,x+1/2,z+1/2'
'y,-x+1/2,-z+1/2'
'-x+1/2,-y+1/2,z'
'x+1/2,y+1/2,-z'
'y+1/2,-x,z+1/2'
'-y+1/2,x,-z+1/2'
loop_
_atom_site_label
_atom_site_type_symbol
_atom_site_fract_x
_atom_site_fract_y
_atom_site_fract_z
Ag1 Ag 0.0623 0.8743 0.2371
I1 I 0.2500 0.2500 0.7500
F1 F 0.0744 0.8390 0.7366
```

Output
E_form (uncorrected), eV per atom: -0.891
Electronic total energy, eV per atom: -3.162